Compound: RbNaCuP
Source: OQMD via LeMat-Bulk
Functional: PBE
Structure: optimized geometry

Computed properties:
Energy above the most stable polymorph in this dataset, eV/atom: 0.0424

Unit cell a=5.7339 b=6.0498 c=6.0498 alpha=74.66 beta=90.00 gamma=90.00
Closest atoms and distances in Å follow each position.
Sites, in units of the cell vectors:
Rb  0.2500  0.1447  0.8553  3 Na 3.29-3.59, 4 P 3.32-3.39, 4 Cu 3.43-3.58, 2 Rb 3.57
Rb  0.7500  0.8553  0.1447  3 Na 3.29-3.59, 4 P 3.32-3.39, 4 Cu 3.43-3.58, 2 Rb 3.57
Na  0.2500  0.4880  0.1963  4 P 3.14-3.48, 1 Rb 3.29, 2 Cu 3.37
Na  0.7500  0.1963  0.4880  4 P 3.14-3.48, 1 Rb 3.29, 2 Cu 3.37
Cu  0.0000  0.6771  0.6771  2 P 2.24
Cu  0.5000  0.6771  0.6771  2 P 2.24
P  0.2500  0.8957  0.4272  2 Cu 2.24
P  0.7500  0.4272  0.8957  2 Cu 2.24

---

Compound: AcErNO
Source: OQMD via LeMat-Bulk
Functional: PBE
Structure: optimized geometry

Computed properties:
Energy above the most stable polymorph in this dataset, eV/atom: 0.0109

Unit cell a=6.9048 b=8.3330 c=5.4324 alpha=90.00 beta=90.00 gamma=90.00
Closest atoms and distances in Å follow each position.
Sites, in units of the cell vectors:
Ac  0.0588  0.1307  0.0000  1 N 2.47, 4 O 2.47-2.75
Ac  0.4412  0.1307  0.5000  1 N 2.47, 4 O 2.47-2.75
Ac  0.5588  0.8693  0.0000  1 N 2.47, 4 O 2.47-2.75
Ac  0.9412  0.8693  0.5000  1 N 2.47, 4 O 2.47-2.75
Er  0.0913  0.6133  0.9785  1 O 2.22, 3 N 2.22-2.27
Er  0.4087  0.6133  0.4785  1 O 2.22, 3 N 2.22-2.27
Er  0.5913  0.3867  0.9785  1 O 2.22, 3 N 2.22-2.27
Er  0.9087  0.3867  0.4785  1 O 2.22, 3 N 2.22-2.27
N  0.0881  0.6020  0.5606  3 Er 2.22-2.27, 1 Ac 2.47
N  0.4119  0.6020  0.0606  3 Er 2.22-2.27, 1 Ac 2.47
N  0.5881  0.3980  0.5606  3 Er 2.22-2.27, 1 Ac 2.47
N  0.9119  0.3980  0.0606  3 Er 2.22-2.27, 1 Ac 2.47
O  0.0853  0.1643  0.4983  1 Er 2.22, 1 Ac 2.47
O  0.4147  0.1643  0.9983  1 Er 2.22, 1 Ac 2.47
O  0.5853  0.8357  0.4983  1 Er 2.22, 1 Ac 2.47
O  0.9147  0.8357  0.9983  1 Er 2.22, 1 Ac 2.47

---

Compound: TbDy2Co2B2As3
Source: OQMD via LeMat-Bulk
Functional: PBE
Structure: optimized geometry

Unit cell a=11.6419 b=11.6419 c=11.6419 alpha=160.55 beta=160.55 gamma=27.64
Closest atoms and distances in Å follow each position.
Sites, in units of the cell vectors:
Tb  0.0000  0.0000  0.0000  6 As 2.78-2.82
Dy  0.3564  0.3564  0.0000  4 As 2.81, 4 Co 3.11, 1 B 3.12
Dy  0.6436  0.6436  0.0000  4 As 2.81, 4 Co 3.11, 1 B 3.12
Co  0.2500  0.7500  0.5000  4 B 2.09
Co  0.7500  0.2500  0.5000  4 B 2.09
B  0.2182  0.2182  0.0000  4 Co 2.09, 1 As 2.11
B  0.7818  0.7818  0.0000  4 Co 2.09, 1 As 2.11
As  0.1247  0.1247  0.0000  1 B 2.11
As  0.5000  0.5000  0.0000  4 Tb 2.78
As  0.8753  0.8753  0.0000  1 B 2.11

---

Compound: Na2SrH6Pd
Source: OQMD via LeMat-Bulk
Functional: PBE
Structure: optimized geometry

Unit cell a=5.6910 b=5.6910 c=5.6910 alpha=60.00 beta=60.00 gamma=60.00
Closest atoms and distances in Å follow each position.
Sites, in units of the cell vectors:
Na  0.2500  0.2500  0.2500  12 H 2.86
Na  0.7500  0.7500  0.7500  12 H 2.86
Sr  0.0000  0.0000  0.0000  6 H 2.27
H  0.2821  0.2821  0.7179  1 Pd 1.75
H  0.2821  0.7179  0.2821  1 Pd 1.75
H  0.2821  0.7179  0.7179  1 Pd 1.75
H  0.7179  0.2821  0.2821  1 Pd 1.75
H  0.7179  0.2821  0.7179  1 Pd 1.75
H  0.7179  0.7179  0.2821  1 Pd 1.75
Pd  0.5000  0.5000  0.5000  6 H 1.75

---

| no. | energy (eV/atom) |
| --- | --- |
| 1 | -3.112 |
| 2 | -7.528 |
| 3 | -6.296 |
| 4 | -3.004 |